[1]
A plane-wave DFT calculation with PBE was carried out for crystalline Pm2CoI at its relaxed geometry.

Calculated values
Final energy = -0.1882 Ha/atom
Space-group type = C2/m, No. 12
Formation energy without anion corrections = -581 meV/atom
Energy above the lowest structure with this stoichiometry = 0 meV/atom

Unit cell a=4.0354 b=4.0367 c=8.3985 alpha=90.00 beta=103.96 gamma=120.03
Closest atoms and distances in Å follow each position.
Fractional coordinates of all 4 atoms:
Pm  0.4770  0.9793  0.2333  3 Co 2.75-2.76
Pm  0.5696  0.5265  0.8698  3 Co 2.75-2.76
Co  0.0233  0.2529  0.0515  6 Pm 2.75-2.76
I  0.0228  0.7525  0.5515  6 Pm 3.47


[2]
A plane-wave DFT calculation with PBE was carried out for crystalline PuBiTe at its relaxed geometry.

Calculated values
Final energy = -0.2794 Ha/atom
Space-group type = I4mm, No. 107
Formation energy without anion corrections = -485 meV/atom

Unit cell a=4.0717 b=4.0717 c=6.0640 alpha=109.62 beta=109.62 gamma=90.00
Closest atoms and distances in Å follow each position.
Fractional coordinates of all 3 atoms:
Te  0.3117  0.3117  0.6234  1 Bi 3.20, 4 Pu 3.22
Bi  0.0118  0.0118  0.0237  1 Te 3.20, 5 Pu 3.37-3.58
Pu  0.6765  0.6765  0.3529  4 Te 3.22, 5 Bi 3.37-3.58


[3]
A plane-wave DFT calculation with PBE was carried out for crystalline Na2CdGe2 at its relaxed geometry.

Calculated values
Final energy = -0.0969 Ha/atom
Space-group type = C2/m, No. 12
Energy above the lowest structure with this stoichiometry = 0 meV/atom

Unit cell a=4.6468 b=6.0430 c=9.7151 alpha=82.98 beta=76.16 gamma=67.39
Closest atoms and distances in Å follow each position.
Fractional coordinates of all 10 atoms:
Na  0.3091  0.2791  0.1027  6 Ge 3.10-3.32
Na  0.4892  0.3293  0.6923  6 Ge 3.21-3.35, 4 Cd 3.29-3.52
Na  0.6909  0.7209  0.8973  6 Ge 3.10-3.32
Na  0.5108  0.6707  0.3077  6 Ge 3.21-3.35, 4 Cd 3.29-3.52
Cd  0.7831  0.0786  0.3551  4 Ge 2.77-2.87
Cd  0.2169  0.9214  0.6449  4 Ge 2.77-2.87
Ge  0.9762  0.1445  0.9031  1 Ge 2.40
Ge  0.1259  0.3103  0.4378  1 Ge 2.45
Ge  0.0238  0.8555  0.0969  1 Ge 2.40
Ge  0.8741  0.6897  0.5622  1 Ge 2.45


[4]
A plane-wave DFT calculation with PBE was carried out for crystalline CrCdPbI2 at its relaxed geometry.

Calculated values
Final energy = -0.1209 Ha/atom
Space-group type = P4/mmm, No. 123
Formation energy without anion corrections = 180 meV/atom

Unit cell a=5.5122 b=5.6254 c=5.5122 alpha=90.00 beta=90.00 gamma=90.00
Closest atoms and distances in Å follow each position.
Fractional coordinates of all 5 atoms:
Pb  0.0000  0.5000  0.0000  2 Cr 2.81
I  0.0000  0.0000  0.5000  2 Cr 2.76
I  0.5000  0.0000  0.0000  2 Cr 2.76
Cr  0.0000  0.0000  0.0000  4 I 2.76, 2 Pb 2.81
Cd  0.5000  0.5000  0.5000  4 Pb 3.90, 8 I 3.94


[5]
A plane-wave DFT calculation with PBE was carried out for crystalline KHgF5 at its relaxed geometry.

Calculated values
Final energy = -0.1090 Ha/atom
Space-group type = C2/c, No. 15
Formation energy without anion corrections = -1428 meV/atom

Unit cell a=5.4213 b=5.4213 c=9.3313 alpha=105.14 beta=105.14 gamma=76.98
Closest atoms and distances in Å follow each position.
Fractional coordinates of all 14 atoms:
K  0.0000  0.0000  0.0000  6 F 2.60-2.89
K  0.0000  0.0000  0.5000  6 F 2.60-2.89
Hg  0.5168  0.4832  0.7500  5 F 1.96-2.17
Hg  0.4832  0.5168  0.2500  5 F 1.96-2.17
F  0.6120  0.0850  0.7764  1 Hg 2.17
F  0.3686  0.3349  0.5372  1 Hg 1.96
F  0.0850  0.6120  0.2764  1 Hg 2.17
F  0.2144  0.7856  0.7500  1 Hg 2.04
F  0.6651  0.6314  0.9628  1 Hg 1.96
F  0.3349  0.3686  0.0372  1 Hg 1.96
F  0.7856  0.2144  0.2500  1 Hg 2.04
F  0.9150  0.3880  0.7236  1 Hg 2.17
F  0.6314  0.6651  0.4628  1 Hg 1.96
F  0.3880  0.9150  0.2236  1 Hg 2.17


[6]
A plane-wave DFT calculation with PBE was carried out for crystalline Tm4UC4 at its relaxed geometry.

Calculated values
Final energy = -0.2826 Ha/atom
Space-group type = C2/m, No. 12

Unit cell a=3.5638 b=6.1165 c=7.8685 alpha=75.15 beta=76.91 gamma=73.06
Closest atoms and distances in Å follow each position.
Fractional coordinates of all 9 atoms:
Tm  0.7026  0.4001  0.1946  5 C 2.45-2.63
Tm  0.8905  0.8248  0.3943  4 C 2.42-2.56
Tm  0.2974  0.5999  0.8054  5 C 2.45-2.63
Tm  0.1095  0.1752  0.6057  4 C 2.42-2.56
U  0.5000  0.0000  0.0000  6 C 2.38-2.40
C  0.3065  0.0984  0.2886  1 U 2.40, 5 Tm 2.42-2.56
C  0.6935  0.9016  0.7114  1 U 2.40, 5 Tm 2.42-2.56
C  0.9104  0.2688  0.9103  2 U 2.38, 4 Tm 2.45-2.63
C  0.0896  0.7312  0.0897  2 U 2.38, 4 Tm 2.45-2.63


[7]
A plane-wave DFT calculation with PBE was carried out for crystalline KHg2Os at its relaxed geometry.

Calculated values
Final energy = -0.0934 Ha/atom
Space-group type = Pmm2, No. 25
Energy above the lowest structure with this stoichiometry = 110 meV/atom

Unit cell a=2.8982 b=4.6322 c=8.0212 alpha=90.00 beta=90.00 gamma=90.00
Closest atoms and distances in Å follow each position.
Fractional coordinates of all 4 atoms:
Hg  0.0000  0.0000  0.9106  4 Os 2.76, 2 Hg 2.90
Hg  0.5000  0.5000  0.2127  1 Os 2.79, 2 Hg 2.90
K  0.0000  0.0000  0.5121  2 K 2.90, 1 Hg 3.20
Os  0.5000  0.5000  0.8646  5 Hg 2.76-2.79, 2 Os 2.90


[8]
A plane-wave DFT calculation with PBE was carried out for crystalline CaY2Te4 at its relaxed geometry.

Calculated values
Final energy = -0.1990 Ha/atom
Space-group type = P2/m, No. 10
Formation energy without anion corrections = -1487 meV/atom
Energy above the lowest structure with this stoichiometry = 0 meV/atom

Unit cell a=4.4091 b=7.5426 c=7.7533 alpha=72.23 beta=90.00 gamma=90.00
Closest atoms and distances in Å follow each position.
Fractional coordinates of all 7 atoms:
Ca  0.0000  0.5000  0.5000  6 Te 3.14-3.20
Y  0.0000  0.0000  0.0000  6 Te 3.04-3.11
Y  0.5000  0.5000  0.0000  6 Te 3.10-3.13
Te  0.5000  0.7603  0.2459  3 Y 3.11-3.13, 2 Ca 3.20
Te  0.0000  0.2546  0.2382  3 Y 3.04-3.10, 1 Ca 3.14
Te  0.5000  0.2397  0.7541  3 Y 3.11-3.13, 2 Ca 3.20
Te  0.0000  0.7454  0.7618  3 Y 3.04-3.10, 1 Ca 3.14


[9]
A plane-wave DFT calculation with PBE was carried out for crystalline TlZnHgPb at its relaxed geometry.

Calculated values
Final energy = -0.0649 Ha/atom
Space-group type = F-43m, No. 216

Unit cell a=5.3243 b=5.3243 c=5.3243 alpha=60.00 beta=60.00 gamma=60.00
Closest atoms and distances in Å follow each position.
Fractional coordinates of all 4 atoms:
Pb  0.0000  0.0000  0.0000  4 Zn 3.26, 4 Hg 3.26
Zn  0.7500  0.7500  0.7500  4 Tl 3.26, 4 Pb 3.26
Tl  0.5000  0.5000  0.5000  4 Hg 3.26, 4 Zn 3.26
Hg  0.2500  0.2500  0.2500  4 Pb 3.26, 4 Tl 3.26


[10]
A plane-wave DFT calculation with PBE was carried out for crystalline La2LuPb at its relaxed geometry.

Calculated values
Final energy = -0.1778 Ha/atom
Space-group type = P4/mmm, No. 123
Energy above the lowest structure with this stoichiometry = 0 meV/atom

Unit cell a=5.0808 b=4.9476 c=4.9476 alpha=90.00 beta=90.00 gamma=90.00
Closest atoms and distances in Å follow each position.
Fractional coordinates of all 4 atoms:
Pb  0.5000  0.0000  0.0000  4 Lu 3.50, 8 La 3.55
Lu  0.5000  0.5000  0.5000  4 Pb 3.50, 8 La 3.55
La  0.0000  0.0000  0.5000  4 La 3.50, 4 Lu 3.55, 4 Pb 3.55
La  0.0000  0.5000  0.0000  4 La 3.50, 4 Lu 3.55, 4 Pb 3.55


[11]
A plane-wave DFT calculation with PBE was carried out for crystalline Tb3Al4Au2 at its relaxed geometry.

Calculated values
Final energy = -0.1695 Ha/atom
Space-group type = C2/m, No. 12

Unit cell a=4.5509 b=5.8416 c=8.4890 alpha=71.10 beta=74.45 gamma=67.08
Closest atoms and distances in Å follow each position.
Fractional coordinates of all 9 atoms:
Tb  0.3241  0.6983  0.6534  4 Au 3.08-3.27, 8 Al 3.10-3.42
Tb  0.0000  0.0000  0.0000  8 Al 3.01-3.28, 4 Au 3.12
Tb  0.6759  0.3017  0.3466  4 Au 3.08-3.27, 8 Al 3.10-3.42
Al  0.2638  0.3982  0.0742  1 Au 2.64, 2 Al 2.68
Al  0.7362  0.6018  0.9258  1 Au 2.64, 2 Al 2.68
Al  0.0245  0.3119  0.6392  2 Au 2.63, 1 Al 2.65
Al  0.9755  0.6881  0.3608  2 Au 2.63, 1 Al 2.65
Au  0.4016  0.9274  0.2693  3 Al 2.63-2.64
Au  0.5984  0.0726  0.7307  3 Al 2.63-2.64


[12]
A plane-wave DFT calculation with PBE was carried out for crystalline FeHgW2 at its relaxed geometry.

Calculated values
Final energy = -0.2949 Ha/atom
Space-group type = Cm, No. 8

Unit cell a=4.8576 b=4.8576 c=5.1332 alpha=82.87 beta=82.87 gamma=32.69
Closest atoms and distances in Å follow each position.
Fractional coordinates of all 4 atoms:
Fe  0.4966  0.4966  0.5028  2 Fe 2.73, 3 Hg 2.77-2.84, 7 W 2.78-2.99
Hg  0.2463  0.2463  0.2633  2 Hg 2.73, 3 Fe 2.77-2.84, 7 W 2.86-2.96
W  0.0004  0.0004  0.9837  5 W 2.70-2.88, 4 Fe 2.83-2.99, 3 Hg 2.86-2.94
W  0.7568  0.7568  0.7501  5 W 2.70-2.88, 3 Fe 2.78-2.88, 4 Hg 2.86-2.96


[13]
A plane-wave DFT calculation with PBE was carried out for crystalline Ac2Hg5Au4 at its relaxed geometry.

Calculated values
Final energy = -0.0905 Ha/atom
Space-group type = Immm, No. 71

Unit cell a=5.9201 b=7.5070 c=7.5059 alpha=76.65 beta=66.77 gamma=66.78
Closest atoms and distances in Å follow each position.
Fractional coordinates of all 11 atoms:
Ac  0.2737  0.7264  0.7262  6 Au 3.17-3.32
Ac  0.7263  0.2736  0.2738  6 Au 3.17-3.32
Hg  0.2497  0.1802  0.8197  2 Hg 2.96, 4 Au 2.97-3.28
Hg  0.7503  0.8198  0.1803  2 Hg 2.96, 4 Au 2.97-3.28
Hg  0.0000  0.5000  0.5000  4 Au 2.93
Hg  0.7504  0.1802  0.8197  2 Hg 2.96, 4 Au 2.97-3.28
Hg  0.2496  0.8198  0.1803  2 Hg 2.96, 4 Au 2.97-3.28
Au  0.2480  0.0918  0.4123  5 Hg 2.93-3.28, 1 Au 2.98, 1 Ac 3.17
Au  0.7520  0.9082  0.5877  5 Hg 2.93-3.28, 1 Au 2.98, 1 Ac 3.17
Au  0.7520  0.5876  0.9084  5 Hg 2.93-3.28, 1 Au 2.98, 1 Ac 3.17
Au  0.2480  0.4124  0.0916  5 Hg 2.93-3.28, 1 Au 2.98, 1 Ac 3.17


[14]
A plane-wave DFT calculation with PBE was carried out for crystalline ZrAg4Pt at its relaxed geometry.

Calculated values
Final energy = -0.1589 Ha/atom
Space-group type = F-43m, No. 216

Unit cell a=5.3660 b=5.3660 c=5.3660 alpha=60.00 beta=60.00 gamma=60.00
Closest atoms and distances in Å follow each position.
Fractional coordinates of all 6 atoms:
Zr  0.0000  0.0000  0.0000  12 Ag 3.15, 4 Pt 3.29
Ag  0.8743  0.3752  0.3752  6 Ag 2.68-2.69
Ag  0.3752  0.3752  0.8743  6 Ag 2.68-2.69
Ag  0.3752  0.8743  0.3752  6 Ag 2.68-2.69
Ag  0.3752  0.3752  0.3752  6 Ag 2.68-2.69
Pt  0.7500  0.7500  0.7500  12 Ag 3.15, 4 Zr 3.29


[15]
A plane-wave DFT calculation with PBE was carried out for crystalline NaAgICl at its relaxed geometry.

Calculated values
Final energy = -0.1028 Ha/atom
Space-group type = Pmm2, No. 25
Formation energy without anion corrections = -905 meV/atom

Unit cell a=4.6210 b=5.3718 c=4.8179 alpha=89.99 beta=90.00 gamma=90.00
Closest atoms and distances in Å follow each position.
Fractional coordinates of all 4 atoms:
Na  0.0000  0.4492  0.8454  2 Cl 2.69
Ag  0.5000  0.9492  0.5414  2 Cl 2.67, 2 I 2.88
I  0.5000  0.4492  0.3251  2 Ag 2.88
Cl  0.0000  0.9491  0.8211  2 Ag 2.67, 2 Na 2.69